Record 1
A plane-wave DFT calculation with PBE was carried out for Sc3AgAu2 after structural relaxation.

Summary:
**Space-group type**: P4/mmm (123)
**Crystal system**: tetragonal
**DFT total energy**: -32.23 eV for the cell shown
**Calculated formation energy**: -0.64 eV/atom

Structure (extended XYZ):
```
6
Lattice="-2.007 1.015 -2.551 -1.936 -2.764 0.423 -5.897 5.155 6.693" Properties=species:S:1:pos:R:3 pbc="T T T"
Ag -4.920 1.703 2.283
Sc 0.000 0.000 0.000
Sc -1.944 1.699 2.206
Sc -3.953 3.456 4.486
Au -2.958 -0.012 0.056
Au -6.882 3.418 4.509
```

Record 2
A plane-wave DFT calculation with PBE was carried out for ScAgAu2 after structural relaxation.

Summary:
**Space-group type**: I-4m2 (119)
**Crystal system**: tetragonal
**DFT total energy**: -17.72 eV for the cell shown
**Calculated formation energy**: -0.50 eV/atom

Structure (extended XYZ):
```
4
Lattice="5.136 0.001 -0.023 3.434 3.819 -0.023 1.715 0.765 3.733" Properties=species:S:1:pos:R:3 pbc="T T T"
Ag 2.572 1.146 0.921
Au 7.714 3.439 2.765
Au 8.570 3.821 -0.046
Sc 5.143 2.293 1.843
```

Record 3
A plane-wave DFT calculation with PBE was carried out for Sc3AgAu after structural relaxation.

Summary:
**Space-group type**: Pm-3m (221)
**Crystal system**: cubic
**DFT total energy**: -23.35 eV for the cell shown
**Calculated formation energy**: 0.36 eV/atom

Structure (extended XYZ):
```
5
Lattice="5.107 0.000 0.000 0.000 5.107 0.000 0.000 0.000 5.107" Properties=species:S:1:pos:R:3 pbc="T T T"
Sc 0.000 0.000 2.553
Sc 2.553 0.000 0.000
Sc 0.000 2.553 0.000
Ag 0.000 0.000 0.000
Au 2.553 2.553 2.553
```

Record 4
A plane-wave DFT calculation with PBE was carried out for ScAgAu after structural relaxation.

Summary:
**Space-group type**: P-6m2 (187)
**Crystal system**: hexagonal
**DFT total energy**: -13.64 eV for the cell shown
**Calculated formation energy**: -0.39 eV/atom

Structure (extended XYZ):
```
3
Lattice="4.697 0.000 0.000 -2.349 4.068 0.000 0.000 0.000 3.048" Properties=species:S:1:pos:R:3 pbc="T T T"
Au 2.349 1.356 0.506
Ag 0.000 0.000 0.510
Sc 0.000 2.712 2.032
```

Record 5
A plane-wave DFT calculation with PBE was carried out for ScAgAu after structural relaxation.

Summary:
**Space-group type**: P3m1 (156)
**Crystal system**: trigonal
**DFT total energy**: -13.14 eV for the cell shown
**Calculated formation energy**: -0.23 eV/atom

Structure (extended XYZ):
```
3
Lattice="3.326 0.000 0.000 -1.663 2.880 0.000 0.000 0.000 6.466" Properties=species:S:1:pos:R:3 pbc="T T T"
Sc 0.000 1.920 4.243
Ag 0.000 0.000 6.453
Au 1.663 0.960 2.236
```

Record 6
A plane-wave DFT calculation with PBE was carried out for Sc2AgAu2 after structural relaxation.

Summary:
**Space-group type**: I4/mmm (139)
**Crystal system**: tetragonal
**DFT total energy**: -23.22 eV for the cell shown
**Calculated formation energy**: -0.23 eV/atom

Structure (extended XYZ):
```
5
Lattice="3.830 0.000 0.000 0.000 3.830 0.000 1.915 1.915 7.423" Properties=species:S:1:pos:R:3 pbc="T T T"
Sc 1.915 1.915 1.545
Sc 3.830 3.830 5.877
Au 3.830 1.915 3.711
Au 1.915 3.830 3.711
Ag 0.000 0.000 0.000
```

Record 7
A plane-wave DFT calculation with PBE was carried out for Sc2Ag2Au after structural relaxation.

Summary:
**Space-group type**: Cmmm (65)
**Crystal system**: orthorhombic
**DFT total energy**: -23.40 eV for the cell shown
**Calculated formation energy**: -0.35 eV/atom

Structure (extended XYZ):
```
5
Lattice="3.321 0.000 0.000 0.000 3.867 0.733 0.000 0.511 7.871" Properties=species:S:1:pos:R:3 pbc="T T T"
Ag 0.000 1.052 5.017
Ag 0.000 3.326 3.587
Sc 1.660 1.638 1.928
Sc 1.660 2.741 6.676
Au 0.000 0.000 0.000
```

Record 8
A plane-wave DFT calculation with PBE was carried out for Sc2AgAu2 after structural relaxation.

Summary:
**Space-group type**: P4/mbm (127)
**Crystal system**: tetragonal
**DFT total energy**: -50.37 eV for the cell shown
**Calculated formation energy**: -0.62 eV/atom

Structure (extended XYZ):
```
10
Lattice="7.662 0.000 0.000 0.000 7.662 0.000 0.000 0.000 3.431" Properties=species:S:1:pos:R:3 pbc="T T T"
Sc 1.268 5.099 1.716
Sc 5.099 6.394 1.716
Sc 6.394 2.563 1.716
Sc 2.563 1.268 1.716
Au 1.023 2.808 0.000
Au 4.854 1.023 0.000
Au 6.639 4.854 0.000
Au 2.808 6.639 0.000
Ag 0.000 0.000 0.000
Ag 3.831 3.831 0.000
```

Please write out number 7 again, unchanged.
A plane-wave DFT calculation with PBE was carried out for Sc2Ag2Au after structural relaxation.

Summary:
**Space-group type**: Cmmm (65)
**Crystal system**: orthorhombic
**DFT total energy**: -23.40 eV for the cell shown
**Calculated formation energy**: -0.35 eV/atom

Structure (extended XYZ):
```
5
Lattice="3.321 0.000 0.000 0.000 3.867 0.733 0.000 0.511 7.871" Properties=species:S:1:pos:R:3 pbc="T T T"
Ag 0.000 1.052 5.017
Ag 0.000 3.326 3.587
Sc 1.660 1.638 1.928
Sc 1.660 2.741 6.676
Au 0.000 0.000 0.000
```

Question: Number 3 is which compound?
Answer: Sc3AgAu

What did the first record say?
A plane-wave DFT calculation with PBE was carried out for Sc3AgAu2 after structural relaxation.

Summary:
**Space-group type**: P4/mmm (123)
**Crystal system**: tetragonal
**DFT total energy**: -32.23 eV for the cell shown
**Calculated formation energy**: -0.64 eV/atom

Structure (extended XYZ):
```
6
Lattice="-2.007 1.015 -2.551 -1.936 -2.764 0.423 -5.897 5.155 6.693" Properties=species:S:1:pos:R:3 pbc="T T T"
Ag -4.920 1.703 2.283
Sc 0.000 0.000 0.000
Sc -1.944 1.699 2.206
Sc -3.953 3.456 4.486
Au -2.958 -0.012 0.056
Au -6.882 3.418 4.509
```